A geometry-optimized ErZn2Ag structure, computed with GGA-PBE.

ρ	8.9	g cm⁻³
DFT total energy	-44.95	eV/cell
space-group type	Pnma, No. 62
total magnetization	0.00	μB/cell
calculated formation energy	-0.319	eV/atom

a b c (Å): 4.314 6.925 10.154
angles (deg): 90.00 90.00 90.00
Atoms (fractional coordinates):
Zn1 0.750 0.307 0.463
Zn2 0.750 0.580 0.648
Zn3 0.750 0.807 0.037
Zn4 0.250 0.693 0.537
Zn5 0.250 0.920 0.148
Zn6 0.250 0.193 0.963
Zn7 0.750 0.080 0.852
Zn8 0.250 0.420 0.352
Er1 0.250 0.280 0.674
Er2 0.750 0.220 0.174
Er3 0.750 0.720 0.326
Er4 0.250 0.780 0.826
Ag1 0.750 0.964 0.598
Ag2 0.750 0.464 0.902
Ag3 0.250 0.036 0.402
Ag4 0.250 0.536 0.098